Entry 1:
# GGA-PBE LaPrCo2Ge2, relaxed
# Size of the total moment = 0.79 μB/cell
# VASP energy = -6.131 eV/atom
# Crystal system = tetragonal
data_LaPrCo2Ge2
_chemical_formula_sum 'La1 Pr1 Co2 Ge2'
_cell_length_a 4.178
_cell_length_b 4.178
_cell_length_c 6.956
_cell_angle_alpha 90.00
_cell_angle_beta 90.00
_cell_angle_gamma 90.00
_symmetry_space_group_name_H-M 'P 4 m m'
_symmetry_Int_Tables_number 99
_symmetry_space_group_name_Hall 'P 4 -2'
loop_
_atom_site_label
_atom_site_type_symbol
_atom_site_fract_x
_atom_site_fract_y
_atom_site_fract_z
_atom_site_occupancy
La1 La 0.000 0.000 0.000 1
Pr1 Pr 0.500 0.500 0.377 1
Co1 Co 0.000 0.500 0.687 1
Ge1 Ge 0.000 0.000 0.507 1
Ge2 Ge 0.500 0.500 0.865 1

Entry 2:
# GGA-PBE LaCoSi2Ge, relaxed
# Size of the total moment = 0.00 μB/cell
# VASP energy = -6.159 eV/atom
# Crystal system = tetragonal
data_LaCoSi2Ge
_chemical_formula_sum 'La2 Co2 Si4 Ge2'
_cell_length_a 4.222
_cell_length_b 4.222
_cell_length_c 9.781
_cell_angle_alpha 90.00
_cell_angle_beta 90.00
_cell_angle_gamma 90.00
_symmetry_space_group_name_H-M 'I 4 m m'
_symmetry_Int_Tables_number 107
_symmetry_space_group_name_Hall 'I 4 -2'
loop_
_atom_site_label
_atom_site_type_symbol
_atom_site_fract_x
_atom_site_fract_y
_atom_site_fract_z
_atom_site_occupancy
La1 La 0.000 0.000 0.000 1
Co1 Co 0.000 0.000 0.664 1
Si1 Si 0.000 0.500 0.255 1
Ge1 Ge 0.000 0.000 0.423 1